# Cu2P2O7, single point on PBEsol structure, DFT SCAN
data_Cu2P2O7
_cell_length_a 7.042
_cell_length_b 8.101
_cell_length_c 9.213
_cell_angle_alpha 90.00
_cell_angle_beta 110.88
_cell_angle_gamma 90.00
_space_group_name_H-M_alt 'C 1 2/c 1'
_space_group_IT_number 15
loop_
_space_group_symop_operation_xyz
'x,y,z'
'-x,-y,-z'
'-x,y,-z+1/2'
'x,-y,z+1/2'
'x+1/2,y+1/2,z'
'-x+1/2,-y+1/2,-z'
'-x+1/2,y+1/2,-z+1/2'
'x+1/2,-y+1/2,z+1/2'
loop_
_atom_site_label
_atom_site_type_symbol
_atom_site_fract_x
_atom_site_fract_y
_atom_site_fract_z
Cu1 Cu 0.025 0.186 0.491
P1 P 0.192 0.489 0.706
O1 O 0.000 0.441 0.750
O2 O 0.125 0.000 0.138
O3 O 0.165 0.349 0.119
O4 O 0.223 0.342 0.613
# total energy = -10.51 eV per atom
# offset from the most stable computed form = 0.00 kcal/mol of atoms
# uncorrected formation energy = -1.887 eV per atom
# density = 4.1 g/cm3